1.
The following is a DFT calculation (PBE) of a geometry-optimized SmThVN3 structure.

Uncorrected formation energy: -1229 meV per atom
SG: P2_1/m (11)

Structure (CIF):
```
data_SmThVN3
_cell_length_a 3.5419
_cell_length_b 7.3769
_cell_length_c 7.6601
_cell_angle_alpha 94.76
_cell_angle_beta 90.00
_cell_angle_gamma 90.00
_space_group_name_H-M_alt 'P 1'
_space_group_IT_number 1
_space_group_name_Hall 'P 1'
loop_
_atom_site_label
_atom_site_type_symbol
_atom_site_fract_x
_atom_site_fract_y
_atom_site_fract_z
_atom_site_occupancy
Sm1 Sm 0.7500 0.8470 0.8441 1
Sm2 Sm 0.2500 0.1530 0.1559 1
Th1 Th 0.2500 0.6309 0.1804 1
Th2 Th 0.7500 0.3691 0.8196 1
V1 V 0.2500 0.0859 0.5926 1
V2 V 0.7500 0.9141 0.4074 1
N1 N 0.2500 0.8419 0.4787 1
N2 N 0.7500 0.8843 0.1559 1
N3 N 0.7500 0.3940 0.1292 1
N4 N 0.7500 0.1581 0.5213 1
N5 N 0.2500 0.6060 0.8708 1
N6 N 0.2500 0.1157 0.8441 1
```



2.
The following is a DFT calculation (PBE) of a geometry-optimized SmThVN4 structure.

Uncorrected formation energy: -1324 meV per atom
SG: Cmcm (63)

Structure (CIF):
```
data_SmThVN4
_cell_length_a 5.4240
_cell_length_b 5.3684
_cell_length_c 6.8739
_cell_angle_alpha 90.00
_cell_angle_beta 113.24
_cell_angle_gamma 90.00
_space_group_name_H-M_alt 'P 1'
_space_group_IT_number 1
_space_group_name_Hall 'P 1'
loop_
_atom_site_label
_atom_site_type_symbol
_atom_site_fract_x
_atom_site_fract_y
_atom_site_fract_z
_atom_site_occupancy
Sm1 Sm 0.6093 0.7500 0.2187 1
Sm2 Sm 0.3907 0.2500 0.7813 1
Th1 Th 0.1080 0.2500 0.2161 1
Th2 Th 0.8920 0.7500 0.7839 1
V1 V 0.2666 0.7500 0.5332 1
V2 V 0.7334 0.2500 0.4668 1
N1 N 0.9267 0.2500 0.8535 1
N2 N 0.4156 0.7500 0.8313 1
N3 N 0.0733 0.7500 0.1465 1
N4 N 0.5844 0.2500 0.1687 1
N5 N 0.5000 0.5000 0.5000 1
N6 N 0.0000 0.0000 0.5000 1
N7 N 0.5000 0.0000 0.5000 1
N8 N 0.0000 0.5000 0.5000 1
```



3.
The following is a DFT calculation (PBE) of a geometry-optimized Sm3YTh2N6 structure.

Uncorrected formation energy: -1576 meV per atom
SG: C2/m (12)

Structure (CIF):
```
data_Sm3YTh2N6
_cell_length_a 3.6070
_cell_length_b 7.1953
_cell_length_c 8.0377
_cell_angle_alpha 102.88
_cell_angle_beta 102.97
_cell_angle_gamma 90.00
_space_group_name_H-M_alt 'P 1'
_space_group_IT_number 1
_space_group_name_Hall 'P 1'
loop_
_atom_site_label
_atom_site_type_symbol
_atom_site_fract_x
_atom_site_fract_y
_atom_site_fract_z
_atom_site_occupancy
Sm1 Sm 0.5000 0.5000 0.0000 1
Sm2 Sm 0.8362 0.1655 0.6725 1
Sm3 Sm 0.1638 0.8345 0.3275 1
Y1 Y 0.5000 0.0000 0.0000 1
Th1 Th 0.8355 0.6718 0.6709 1
Th2 Th 0.1645 0.3282 0.3291 1
N1 N 0.3366 0.9138 0.6731 1
N2 N 0.6677 0.5783 0.3353 1
N3 N 0.6634 0.0862 0.3269 1
N4 N 0.0022 0.2458 0.0044 1
N5 N 0.9978 0.7542 0.9956 1
N6 N 0.3323 0.4217 0.6647 1
```



4.
The following is a DFT calculation (PBE) of a geometry-optimized SmY3Th2N6 structure.

Uncorrected formation energy: -1623 meV per atom
SG: C2/m (12)

Structure (CIF):
```
data_SmY3Th2N6
_cell_length_a 3.5704
_cell_length_b 7.1237
_cell_length_c 7.9551
_cell_angle_alpha 102.81
_cell_angle_beta 102.97
_cell_angle_gamma 90.00
_space_group_name_H-M_alt 'P 1'
_space_group_IT_number 1
_space_group_name_Hall 'P 1'
loop_
_atom_site_label
_atom_site_type_symbol
_atom_site_fract_x
_atom_site_fract_y
_atom_site_fract_z
_atom_site_occupancy
Sm1 Sm 0.5000 0.0000 0.0000 1
Y1 Y 0.5000 0.5000 0.0000 1
Y2 Y 0.8355 0.1657 0.6710 1
Y3 Y 0.1645 0.8343 0.3290 1
Th1 Th 0.8348 0.6706 0.6697 1
Th2 Th 0.1652 0.3294 0.3303 1
N1 N 0.3318 0.9166 0.6637 1
N2 N 0.6658 0.5841 0.3316 1
N3 N 0.6682 0.0834 0.3363 1
N4 N 0.0010 0.2558 0.0020 1
N5 N 0.9990 0.7442 0.9980 1
N6 N 0.3342 0.4159 0.6684 1
```



5.
The following is a DFT calculation (PBE) of a geometry-optimized SmYTh2N4 structure.

Uncorrected formation energy: -1582 meV per atom
SG: P2/m (10)

Structure (CIF):
```
data_SmYTh2N4
_cell_length_a 3.6139
_cell_length_b 6.2588
_cell_length_c 6.2141
_cell_angle_alpha 109.59
_cell_angle_beta 90.00
_cell_angle_gamma 90.00
_space_group_name_H-M_alt 'P 1'
_space_group_IT_number 1
_space_group_name_Hall 'P 1'
loop_
_atom_site_label
_atom_site_type_symbol
_atom_site_fract_x
_atom_site_fract_y
_atom_site_fract_z
_atom_site_occupancy
Sm1 Sm 0.5000 0.5000 0.0000 1
Y1 Y 0.0000 0.0000 0.0000 1
Th1 Th 0.5000 0.0000 0.5000 1
Th2 Th 0.0000 0.5000 0.5000 1
N1 N 0.5000 0.2465 0.2512 1
N2 N 0.5000 0.7535 0.7488 1
N3 N 0.0000 0.2448 0.7456 1
N4 N 0.0000 0.7552 0.2544 1
```



6.
The following is a DFT calculation (PBE) of a geometry-optimized SmTh2ZrN4 structure.

Uncorrected formation energy: -1537 meV per atom
SG: P2/m (10)

Structure (CIF):
```
data_SmTh2ZrN4
_cell_length_a 3.5235
_cell_length_b 6.1380
_cell_length_c 6.1403
_cell_angle_alpha 109.20
_cell_angle_beta 90.00
_cell_angle_gamma 90.00
_space_group_name_H-M_alt 'P 1'
_space_group_IT_number 1
_space_group_name_Hall 'P 1'
loop_
_atom_site_label
_atom_site_type_symbol
_atom_site_fract_x
_atom_site_fract_y
_atom_site_fract_z
_atom_site_occupancy
Sm1 Sm 0.5000 0.5000 0.0000 1
Th1 Th 0.5000 0.0000 0.5000 1
Th2 Th 0.0000 0.5000 0.5000 1
Zr1 Zr 0.0000 0.0000 0.0000 1
N1 N 0.5000 0.2296 0.2315 1
N2 N 0.5000 0.7704 0.7685 1
N3 N 0.0000 0.2360 0.7594 1
N4 N 0.0000 0.7640 0.2406 1
```



7.
The following is a DFT calculation (PBE) of a geometry-optimized Sm4Th3ZrN8 structure.

Uncorrected formation energy: -1544 meV per atom
SG: R-3m (166)

Structure (CIF):
```
data_Sm4Th3ZrN8
_cell_length_a 7.1623
_cell_length_b 7.1466
_cell_length_c 7.1618
_cell_angle_alpha 120.07
_cell_angle_beta 120.00
_cell_angle_gamma 90.00
_space_group_name_H-M_alt 'P 1'
_space_group_IT_number 1
_space_group_name_Hall 'P 1'
loop_
_atom_site_label
_atom_site_type_symbol
_atom_site_fract_x
_atom_site_fract_y
_atom_site_fract_z
_atom_site_occupancy
Sm1 Sm 0.5000 0.0000 0.0000 1
Sm2 Sm 0.5000 0.0000 0.5000 1
Sm3 Sm 0.0000 0.0000 0.0000 1
Sm4 Sm 0.0000 0.0000 0.5000 1
Th1 Th 0.5000 0.5000 0.0000 1
Th2 Th 0.5000 0.5000 0.5000 1
Th3 Th 0.0000 0.5000 0.5000 1
Zr1 Zr 0.0000 0.5000 0.0000 1
N1 N 0.2367 0.7319 0.9952 1
N2 N 0.2368 0.7320 0.4736 1
N3 N 0.2521 0.2564 0.5043 1
N4 N 0.7584 0.7319 0.9952 1
N5 N 0.2416 0.2681 0.0048 1
N6 N 0.7479 0.7436 0.4957 1
N7 N 0.7632 0.2680 0.5264 1
N8 N 0.7633 0.2681 0.0048 1
```



8.
The following is a DFT calculation (PBE) of a geometry-optimized Sm3Th2ZrN6 structure.

Uncorrected formation energy: -1550 meV per atom
SG: C2/m (12)

Structure (CIF):
```
data_Sm3Th2ZrN6
_cell_length_a 6.1698
_cell_length_b 6.1698
_cell_length_c 6.1512
_cell_angle_alpha 99.60
_cell_angle_beta 99.60
_cell_angle_gamma 119.96
_space_group_name_H-M_alt 'P 1'
_space_group_IT_number 1
_space_group_name_Hall 'P 1'
loop_
_atom_site_label
_atom_site_type_symbol
_atom_site_fract_x
_atom_site_fract_y
_atom_site_fract_z
_atom_site_occupancy
Sm1 Sm 0.1637 0.8363 0.5000 1
Sm2 Sm 0.8363 0.1637 0.5000 1
Sm3 Sm 0.5000 0.5000 0.5000 1
Th1 Th 0.3329 0.6671 0.0000 1
Th2 Th 0.6671 0.3329 0.0000 1
Zr1 Zr 0.0000 0.0000 0.0000 1
N1 N 0.9227 0.6046 0.7688 1
N2 N 0.7598 0.7598 0.2366 1
N3 N 0.0773 0.3954 0.2312 1
N4 N 0.6046 0.9227 0.7688 1
N5 N 0.2402 0.2402 0.7634 1
N6 N 0.3954 0.0773 0.2312 1
```



Number 1: density 7.9 Mg/m³, magnetic moment 0.000 μB/f.u.. Number 2: density 8.8 Mg/m³, magnetic moment 0.000 μB/f.u.. Number 3: density 9.1 Mg/m³, magnetic moment 0.000 μB/f.u.. Number 4: density 8.3 Mg/m³, magnetic moment 0.000 μB/f.u.. Number 5: density 9.5 Mg/m³, magnetic moment 0.000 μB/f.u.. Number 6: density 10.1 Mg/m³, magnetic moment 0.000 μB/f.u.. Number 7: density 9.6 Mg/m³, magnetic moment 0.000 μB/f.u.. Number 8: density 9.5 Mg/m³, magnetic moment 0.000 μB/f.u..